5
Lattice="-5.711 -0.482 2.007 -0.633 -5.211 -3.053 1.085 -1.701 2.678" Properties=species:S:1:pos:R:3 comment="GGA-PBE AlI2NO, optimized geometry" total_energy_ev_per_atom=-3.848 e_above_lowest_polymorph_kj_per_mol_fu=0 e_form_raw_ev_per_atom=0.18 total_magnetization_mub_per_fu=2.67 dos_at_fermi_per_ev_atom=0.324 pbc="T T T"
I -0.317 -2.605 -1.527
I -2.855 -0.241 1.003
Al 0.000 0.000 0.000
O 0.542 -0.851 1.339
N -2.630 -3.697 0.816